<1>
KNi2W | Alexandria via LeMat-Bulk | SCAN | PBEsol geometry; crystal system = cubic
1.0
-1.046 -0.009 -4.309
2.900 -1.537 -2.982
-0.785 -3.835 -2.083
W K Ni
1 1 2
Direct
0.500 0.500 0.500 W
0.000 0.000 0.000 K
0.250 0.250 0.250 Ni
0.750 0.750 0.750 Ni


<2>
KNi2W | Alexandria via LeMat-Bulk | SCAN | PBEsol geometry; crystal system = monoclinic
1.0
2.612 0.000 0.165
0.000 4.095 0.000
-0.001 0.000 6.926
Ni K W
2 1 1
Direct
0.882 0.000 0.080 Ni
0.863 0.500 0.269 Ni
0.416 0.500 0.774 K
0.339 0.000 0.377 W


<3>
KNi2W | Alexandria via LeMat-Bulk | SCAN | PBEsol geometry; crystal system = tetragonal
1.0
-2.392 1.080 -0.457
0.263 -0.519 -2.600
-3.880 -8.077 1.219
K W Ni
1 1 2
Direct
0.500 0.500 0.782 K
0.000 0.000 0.426 W
0.000 0.000 0.061 Ni
0.500 0.500 0.230 Ni


<4>
KNi2W | Alexandria via LeMat-Bulk | SCAN | PBEsol geometry; crystal system = orthorhombic
1.0
-0.913 -2.130 -1.214
3.172 0.476 -3.222
3.355 -3.064 2.851
Ni K W
2 1 1
Direct
0.500 0.000 0.500 Ni
0.000 0.000 0.000 Ni
0.000 0.500 0.500 K
0.500 0.500 0.000 W


Need the numbers? Relative energies in kJ/mol of atoms: <1> 66.7; <2> 1.6; <3> 0.0; <4> 75.5.


<1>
KY2Ni | Alexandria via LeMat-Bulk | SCAN | PBEsol geometry; crystal system = tetragonal
1.0
-3.105 0.583 -2.047
0.408 -3.391 -1.584
-5.082 -3.718 6.651
K Y Ni
1 2 1
Direct
0.000 0.000 0.533 K
0.000 0.000 0.919 Y
0.500 0.500 0.169 Y
0.500 0.500 0.879 Ni


<2>
KY2Ni | Alexandria via LeMat-Bulk | SCAN | PBEsol geometry; crystal system = orthorhombic
1.0
4.402 0.000 0.000
0.000 4.221 0.000
0.000 0.000 5.368
Y K Ni
2 1 1
Direct
0.500 0.000 0.500 Y
0.000 0.000 0.000 Y
0.500 0.500 0.000 K
0.000 0.500 0.500 Ni


Need the numbers? Relative energies in kJ/mol of atoms: <1> 0.0; <2> 52.2.


<1>
KO3 | Alexandria via LeMat-Bulk | SCAN | PBEsol geometry; crystal system = orthorhombic
1.0
-3.739 -1.492 0.979
-0.206 -2.722 3.833
-2.443 2.458 3.184
O K
3 1
Direct
0.916 0.884 0.284 O
0.034 0.966 0.966 O
0.916 0.284 0.884 O
0.509 0.491 0.491 K


<2>
KO3 | Alexandria via LeMat-Bulk | SCAN | PBEsol geometry; crystal system = tetragonal
1.0
-3.943 0.494 5.813
-0.863 -5.437 -4.390
6.584 -0.700 2.394
O K
12 4
Direct
0.250 0.435 0.686 O
0.781 0.719 0.500 O
0.719 0.219 0.939 O
0.750 0.565 0.314 O
0.065 0.250 0.314 O
0.250 0.935 0.185 O
0.435 0.750 0.185 O
0.750 0.065 0.815 O
0.565 0.250 0.815 O
0.935 0.750 0.686 O
0.281 0.781 0.061 O
0.219 0.281 0.500 O
0.750 0.750 0.000 K
0.250 0.250 0.000 K
0.750 0.250 0.500 K
0.250 0.750 0.500 K


Need the numbers? Relative energies in kJ/mol of atoms: <1> 1.6; <2> 0.0.


<1>
KO2 | Alexandria via LeMat-Bulk | SCAN | PBEsol geometry; crystal system = monoclinic
1.0
4.000 0.000 0.000
2.000 4.734 -0.008
2.000 0.213 5.895
O K
4 2
Direct
0.409 0.949 0.952 O
0.591 0.051 0.048 O
0.311 0.551 0.548 O
0.689 0.449 0.452 O
0.000 0.500 0.000 K
0.500 0.000 0.500 K


<2>
KO2 | Alexandria via LeMat-Bulk | SCAN | PBEsol geometry; crystal system = tetragonal
1.0
-1.650 1.607 -3.089
3.742 -1.983 -0.628
-0.130 -3.444 -1.723
O K
2 1
Direct
0.398 0.797 0.602 O
0.602 0.203 0.398 O
0.000 0.000 0.000 K


<3>
KO2 | Alexandria via LeMat-Bulk | SCAN | PBEsol geometry; crystal system = cubic
1.0
-1.094 -0.152 -5.994
-2.226 -5.647 0.550
-5.568 2.287 0.958
K O
4 8
Direct
0.000 0.000 0.000 K
0.000 0.500 0.500 K
0.500 0.500 0.000 K
0.500 0.000 0.500 K
0.564 0.936 0.064 O
0.936 0.064 0.564 O
0.436 0.064 0.936 O
0.064 0.936 0.436 O
0.064 0.564 0.936 O
0.564 0.564 0.564 O
0.436 0.436 0.436 O
0.936 0.436 0.064 O


Need the numbers? Relative energies in kJ/mol of atoms: <1> 4.3; <2> 0.0; <3> 9.2.


<1>
KTi2P3O12 | Alexandria via LeMat-Bulk | SCAN | PBEsol geometry; crystal system = trigonal
1.0
-7.370 3.672 1.860
-6.225 0.096 -5.701
-7.165 -5.427 1.482
Ti K O P
4 2 24 6
Direct
0.851 0.851 0.446 Ti
0.351 0.351 0.946 Ti
0.149 0.149 0.554 Ti
0.649 0.649 0.054 Ti
0.000 0.000 0.000 K
0.500 0.500 0.500 K
0.931 0.295 0.707 O
0.569 0.433 0.793 O
0.748 0.490 0.910 O
0.648 0.010 0.590 O
0.248 0.352 0.410 O
0.567 0.795 0.207 O
0.490 0.852 0.910 O
0.510 0.148 0.090 O
0.069 0.705 0.293 O
0.148 0.252 0.090 O
0.010 0.752 0.590 O
0.705 0.933 0.293 O
0.433 0.205 0.793 O
0.252 0.510 0.090 O
0.795 0.431 0.207 O
0.431 0.567 0.207 O
0.933 0.069 0.293 O
0.752 0.648 0.590 O
0.067 0.931 0.707 O
0.990 0.248 0.410 O
0.352 0.990 0.410 O
0.852 0.748 0.910 O
0.295 0.067 0.707 O
0.205 0.569 0.793 O
0.032 0.750 0.750 P
0.750 0.468 0.750 P
0.468 0.032 0.750 P
0.250 0.532 0.250 P
0.532 0.968 0.250 P
0.968 0.250 0.250 P


<2>
KTi2P3O12 | Alexandria via LeMat-Bulk | SCAN | PBEsol geometry; crystal system = cubic
1.0
9.849 0.000 0.000
0.000 9.849 0.000
0.000 0.000 9.849
P O Ti K
12 48 8 4
Direct
0.126 0.046 0.727 P
0.374 0.954 0.227 P
0.954 0.227 0.374 P
0.273 0.626 0.454 P
0.227 0.374 0.954 P
0.546 0.773 0.874 P
0.773 0.874 0.546 P
0.727 0.126 0.046 P
0.454 0.273 0.626 P
0.046 0.727 0.126 P
0.626 0.454 0.273 P
0.874 0.546 0.773 P
0.421 0.646 0.500 O
0.698 0.738 0.525 O
0.500 0.421 0.646 O
0.804 0.232 0.417 O
0.304 0.268 0.583 O
0.460 0.699 0.981 O
0.960 0.801 0.019 O
0.481 0.040 0.301 O
0.019 0.960 0.801 O
0.699 0.981 0.460 O
0.268 0.583 0.304 O
0.500 0.921 0.854 O
0.768 0.917 0.696 O
0.000 0.579 0.146 O
0.917 0.696 0.768 O
0.302 0.238 0.975 O
0.738 0.525 0.698 O
0.646 0.500 0.421 O
0.040 0.301 0.481 O
0.762 0.475 0.198 O
0.079 0.354 0.000 O
0.475 0.198 0.762 O
0.519 0.540 0.199 O
0.981 0.460 0.699 O
0.525 0.698 0.738 O
0.146 0.000 0.579 O
0.801 0.019 0.960 O
0.198 0.762 0.475 O
0.000 0.079 0.354 O
0.732 0.083 0.196 O
0.354 0.000 0.079 O
0.854 0.500 0.921 O
0.802 0.262 0.025 O
0.232 0.417 0.804 O
0.301 0.481 0.040 O
0.417 0.804 0.232 O
0.083 0.196 0.732 O
0.196 0.732 0.083 O
0.921 0.854 0.500 O
0.540 0.199 0.519 O
0.696 0.768 0.917 O
0.579 0.146 0.000 O
0.238 0.975 0.302 O
0.199 0.519 0.540 O
0.025 0.802 0.262 O
0.975 0.302 0.238 O
0.262 0.025 0.802 O
0.583 0.304 0.268 O
0.913 0.413 0.087 Ti
0.413 0.087 0.913 Ti
0.138 0.362 0.638 Ti
0.587 0.587 0.587 Ti
0.862 0.862 0.862 Ti
0.087 0.913 0.413 Ti
0.362 0.638 0.138 Ti
0.638 0.138 0.362 Ti
0.924 0.576 0.424 K
0.424 0.924 0.576 K
0.576 0.424 0.924 K
0.076 0.076 0.076 K


Need the numbers? Relative energies in kJ/mol of atoms: <1> 0.0; <2> 0.9.


<1>
KVPO5 | Alexandria via LeMat-Bulk | SCAN | PBEsol geometry; crystal system = orthorhombic
1.0
6.347 0.000 0.000
0.000 10.431 0.000
0.000 0.000 12.691
K O V P
8 40 8 8
Direct
0.800 0.069 0.606 K
0.300 0.569 0.894 K
0.781 0.315 0.378 K
0.700 0.069 0.106 K
0.200 0.569 0.394 K
0.719 0.315 0.878 K
0.281 0.815 0.122 K
0.219 0.815 0.622 K
0.196 0.989 0.391 O
0.030 0.388 0.010 O
0.989 0.651 0.015 O
0.534 0.631 0.255 O
0.943 0.889 0.782 O
0.195 0.284 0.400 O
0.470 0.388 0.510 O
0.443 0.389 0.718 O
0.805 0.784 0.600 O
0.310 0.241 0.094 O
0.011 0.151 0.985 O
0.968 0.898 0.247 O
0.034 0.131 0.245 O
0.811 0.044 0.390 O
0.970 0.888 0.990 O
0.489 0.151 0.485 O
0.032 0.398 0.753 O
0.949 0.637 0.221 O
0.449 0.137 0.279 O
0.804 0.489 0.609 O
0.057 0.389 0.218 O
0.696 0.489 0.109 O
0.532 0.898 0.747 O
0.511 0.651 0.515 O
0.468 0.398 0.253 O
0.551 0.637 0.721 O
0.051 0.137 0.779 O
0.305 0.284 0.900 O
0.304 0.989 0.891 O
0.810 0.741 0.406 O
0.689 0.044 0.890 O
0.530 0.888 0.490 O
0.557 0.889 0.282 O
0.966 0.631 0.755 O
0.690 0.741 0.906 O
0.190 0.241 0.594 O
0.311 0.544 0.110 O
0.466 0.131 0.745 O
0.189 0.544 0.610 O
0.695 0.784 0.100 O
0.500 0.513 0.630 V
0.257 0.261 0.246 V
0.243 0.261 0.746 V
0.743 0.761 0.754 V
0.000 0.013 0.870 V
0.000 0.513 0.130 V
0.500 0.013 0.370 V
0.757 0.761 0.254 V
0.996 0.515 0.680 P
0.663 0.765 0.502 P
0.163 0.265 0.998 P
0.004 0.015 0.320 P
0.496 0.015 0.820 P
0.504 0.515 0.180 P
0.337 0.265 0.498 P
0.837 0.765 0.002 P


<2>
KVPO5 | Alexandria via LeMat-Bulk | SCAN | PBEsol geometry; crystal system = orthorhombic
1.0
7.311 0.000 0.000
0.000 7.648 0.000
0.000 0.000 8.380
P O V K
4 20 4 4
Direct
0.121 0.186 0.903 P
0.379 0.814 0.403 P
0.621 0.314 0.097 P
0.879 0.686 0.597 P
0.224 0.822 0.275 O
0.776 0.322 0.225 O
0.724 0.678 0.725 O
0.418 0.807 0.975 O
0.533 0.914 0.311 O
0.033 0.586 0.689 O
0.082 0.193 0.475 O
0.437 0.627 0.445 O
0.177 0.095 0.060 O
0.823 0.595 0.440 O
0.563 0.127 0.055 O
0.276 0.178 0.775 O
0.937 0.873 0.555 O
0.323 0.905 0.560 O
0.582 0.307 0.525 O
0.467 0.414 0.189 O
0.063 0.373 0.945 O
0.677 0.405 0.940 O
0.967 0.086 0.811 O
0.918 0.693 0.025 O
0.117 0.054 0.615 V
0.383 0.946 0.115 V
0.617 0.446 0.385 V
0.883 0.554 0.885 V
0.885 0.963 0.241 K
0.615 0.037 0.741 K
0.385 0.537 0.759 K
0.115 0.463 0.259 K


Need the numbers? Relative energies in kJ/mol of atoms: <1> 0.0; <2> 1.9.